# PBE CeDyEr2Hg4, optimized geometry
# Spin magnetization = 1.7 μB per cell
# DFT formation energy = -41 kJ per mole of atoms
# Density of states at the Fermi level = 14.27 states/eV/cell
# V = 209.0 Å³/cell
data_CeDyEr2Hg4
_space_group_name_H-M_alt 'P 1'
_space_group_IT_number 1
_cell_length_a 9.185
_cell_length_b 9.185
_cell_length_c 9.185
_cell_angle_alpha 33.39
_cell_angle_beta 33.39
_cell_angle_gamma 33.39
loop_
_space_group_symop_operation_xyz
'x,y,z'
loop_
_atom_site_label
_atom_site_type_symbol
_atom_site_fract_x
_atom_site_fract_y
_atom_site_fract_z
Ce1 Ce 0.000 0.000 0.000
Dy1 Dy 0.500 0.500 0.500
Er1 Er 0.250 0.250 0.250
Er2 Er 0.750 0.750 0.750
Hg1 Hg 0.127 0.127 0.127
Hg2 Hg 0.378 0.378 0.378
Hg3 Hg 0.622 0.622 0.622
Hg4 Hg 0.873 0.873 0.873